w.
# Ho4TmMg, relaxed, DFT PBE-GGA
# spin magnetization = 0.0000 μB/atom
# density of states at the Fermi level = 36.89 states/eV/cell
data_Ho4TmMg
_space_group_name_H-M_alt 'C 1 2/c 1'
_space_group_IT_number 15
_space_group_name_Hall '-C 2yc'
_cell_length_a 10.4451
_cell_length_b 6.0553
_cell_length_c 11.7345
_cell_angle_alpha 90.00
_cell_angle_beta 107.31
_cell_angle_gamma 90.00
loop_
_atom_site_label
_atom_site_type_symbol
_atom_site_fract_x
_atom_site_fract_y
_atom_site_fract_z
Ho1 Ho 0.0819 0.2465 0.9998
Ho2 Ho 0.1671 0.4186 0.7502
Tm1 Tm 0.2500 0.2500 0.5000
Mg1 Mg 0.0000 0.0837 0.2500

---

x.
# Ho4TmMg, relaxed, DFT PBE-GGA
# spin magnetization = 0.0000 μB/atom
# density of states at the Fermi level = 8.21 states/eV/cell
data_Ho4TmMg
_space_group_name_H-M_alt 'P 4/m m m'
_space_group_IT_number 123
_space_group_name_Hall '-P 4 2'
_cell_length_a 3.5192
_cell_length_b 3.5192
_cell_length_c 14.3398
_cell_angle_alpha 90.00
_cell_angle_beta 90.00
_cell_angle_gamma 90.00
loop_
_atom_site_label
_atom_site_type_symbol
_atom_site_fract_x
_atom_site_fract_y
_atom_site_fract_z
Ho1 Ho 0.0000 0.0000 0.1560
Ho2 Ho 0.5000 0.5000 0.3270
Tm1 Tm 0.0000 0.0000 0.5000
Mg1 Mg 0.5000 0.5000 0.0000

---

Of them, the most stable is x and the least stable is w.

---

w.
# Ho2TmMg8, relaxed, DFT PBE-GGA
# spin magnetization = 0.0000 μB/atom
# density of states at the Fermi level = 16.18 states/eV/cell
data_Ho2TmMg8
_space_group_name_H-M_alt 'I m m m'
_space_group_IT_number 71
_space_group_name_Hall '-I 2 2'
_cell_length_a 5.2755
_cell_length_b 7.8017
_cell_length_c 13.9159
_cell_angle_alpha 90.00
_cell_angle_beta 90.00
_cell_angle_gamma 90.00
loop_
_atom_site_label
_atom_site_type_symbol
_atom_site_fract_x
_atom_site_fract_y
_atom_site_fract_z
Ho1 Ho 0.0000 0.0000 0.2136
Tm1 Tm 0.0000 0.0000 0.5000
Mg1 Mg 0.0000 0.2062 0.0000
Mg2 Mg 0.0000 0.3095 0.3663
Mg3 Mg 0.0000 0.5000 0.1519

---

x.
# Ho2TmMg8, relaxed, DFT PBE-GGA
# spin magnetization = 0.0001 μB/atom
# density of states at the Fermi level = 10.46 states/eV/cell
data_Ho2TmMg8
_space_group_name_H-M_alt 'P 4/m m m'
_space_group_IT_number 123
_space_group_name_Hall '-P 4 2'
_cell_length_a 4.6048
_cell_length_b 4.6048
_cell_length_c 14.0234
_cell_angle_alpha 90.00
_cell_angle_beta 90.00
_cell_angle_gamma 90.00
loop_
_atom_site_label
_atom_site_type_symbol
_atom_site_fract_x
_atom_site_fract_y
_atom_site_fract_z
Ho1 Ho 0.0000 0.0000 0.1714
Tm1 Tm 0.0000 0.0000 0.5000
Mg1 Mg 0.0000 0.5000 0.0000
Mg2 Mg 0.0000 0.5000 0.3352
Mg3 Mg 0.5000 0.5000 0.1643

---

Of them, the most stable is w and the least stable is x.